A relaxed structure of CsErCoF6. Source: Alexandria via LeMat-Bulk, functional PBE+U.

The structure in CIF format:
```
data_CsErCoF6
_chemical_formula_sum 'Cs4 Er4 Co4 F24'
_symmetry_space_group_name_H-M 'I m m a'
_symmetry_Int_Tables_number 74
_symmetry_space_group_name_Hall '-I 2b 2'
_cell_length_a 7.680
_cell_length_b 8.070
_cell_length_c 11.091
_cell_angle_alpha 90.00
_cell_angle_beta 90.00
_cell_angle_gamma 90.00
loop_
_atom_site_label
_atom_site_type_symbol
_atom_site_fract_x
_atom_site_fract_y
_atom_site_fract_z
_atom_site_occupancy
Cs1 Cs 0.000 0.250 0.078 1
Er1 Er 0.000 0.000 0.500 1
Co1 Co 0.250 0.250 0.750 1
F1 F 0.000 0.250 0.422 1
F2 F 0.000 0.250 0.801 1
F3 F 0.209 0.068 0.619 1
```

Summary:
Total moment   3.000 μB/f.u.
Electronic total energy   -50.4 eV/f.u.